No. 1
The following is a PBE calculation of K3CdS2O8 after structural relaxation, from Alexandria.

Lattice parameters (Å, degrees): 5.9020 5.9020 7.7952 90.00 90.00 120.00
Space group P-3m1 (No. 164)
Inequivalent atoms, fractional coordinates:
K: 0.0000 0.0000 0.0000 (multiplicity 1)
K: 0.3333 0.6667 0.6895 (multiplicity 2)
Cd: 0.0000 0.0000 0.5000 (multiplicity 1)
S: 0.3333 0.6667 0.2146 (multiplicity 2)
O: 0.1948 0.3897 0.2816 (multiplicity 6)
O: 0.3333 0.6667 0.0257 (multiplicity 2)

Uncorrected formation energy   -1.589 eV per atom
DOS at the Fermi energy   0.23 states/eV/atom
Density   2.98 g/cm³

---

No. 2
The following is a PBE calculation of Cd2Hg2Se after structural relaxation, from Alexandria.

Lattice parameters (Å, degrees): 7.1314 7.1314 5.5355 90.00 90.00 90.00
Space group P4/mbm (No. 127)
Inequivalent atoms, fractional coordinates:
Cd: 0.1385 0.3615 0.0000 (multiplicity 4)
Hg: 0.1827 0.6827 0.5000 (multiplicity 4)
Se: 0.0000 0.0000 0.0000 (multiplicity 2)

Uncorrected formation energy   -0.076 eV per atom
DOS at the Fermi energy   0.01 states/eV/atom
Density   8.32 g/cm³
E above lowest polymorph   0 kJ/mol of formula units

---

No. 3
The following is a PBE calculation of MnAlNiGe after structural relaxation, from Alexandria.

Lattice parameters (Å, degrees): 5.8044 5.8044 5.8044 90.00 90.00 90.00
Space group F-43m (No. 216)
Inequivalent atoms, fractional coordinates:
Mn: 0.0000 0.0000 0.0000 (multiplicity 4)
Al: 0.2500 0.2500 0.7500 (multiplicity 4)
Ni: 0.0000 0.0000 0.5000 (multiplicity 4)
Ge: 0.2500 0.2500 0.2500 (multiplicity 4)

E_form   -0.177 eV/atom
DOS at the Fermi energy   0.47 states/eV/atom
Density   7.24 g/cm³

---

No. 4
The following is a PBE calculation of Rb4VSe5 after structural relaxation, from Alexandria.

Lattice parameters (Å, degrees): 10.4672 10.4672 6.9130 90.00 90.00 90.00
Space group I4 (No. 79)
Inequivalent atoms, fractional coordinates:
Rb: 0.0983 0.2953 0.0000 (multiplicity 8)
V: 0.0000 0.0000 0.4107 (multiplicity 2)
Se: 0.0000 0.0000 0.0801 (multiplicity 2)
Se: 0.0673 0.2157 0.5042 (multiplicity 8)

Uncorrected formation energy   -0.875 eV per atom
DOS at the Fermi energy   0.12 states/eV/atom
Density   3.45 g/cm³

---

No. 5
The following is a PBE calculation of Ac2MgNi12P3 after structural relaxation, from Alexandria.

Lattice parameters (Å, degrees): 8.1424 8.1424 15.3438 90.00 90.00 120.00
Space group R-3m (No. 166, hexagonal axes)
Inequivalent atoms, fractional coordinates:
Ac: 0.0000 0.0000 0.1229 (multiplicity 6)
Mg: 0.0000 0.0000 0.5000 (multiplicity 3)
Ni: 0.0076 0.5038 0.1355 (multiplicity 18)
Ni: 0.0532 0.5266 0.3065 (multiplicity 18)
P: 0.0000 0.5000 0.0000 (multiplicity 9)

E_form   -0.124 eV/atom
DOS at the Fermi energy   0.55 states/eV/atom
Density   7.21 g/cm³

---

No. 6
The following is a PBE calculation of Na3FePd after structural relaxation, from Alexandria.

Lattice parameters (Å, degrees): 5.3996 5.3996 5.3996 90.00 90.00 90.00
Space group Pm-3m (No. 221)
Inequivalent atoms, fractional coordinates:
Na: 0.0000 0.0000 0.5000 (multiplicity 3)
Fe: 0.0000 0.0000 0.0000 (multiplicity 1)
Pd: 0.5000 0.5000 0.5000 (multiplicity 1)

E_form   1.029 eV/atom
DOS at the Fermi energy   0.24 states/eV/atom
Density   2.44 g/cm³
E above lowest polymorph   111 kJ/mol of formula units

---

No. 7
The following is a PBE calculation of Cu4SbPd7 after structural relaxation, from Alexandria.

Lattice parameters (Å, degrees): 10.1760 4.8728 9.1894 90.00 120.73 90.00
Space group C2/m (No. 12)
Inequivalent atoms, fractional coordinates:
Cu: 0.0620 0.0000 0.2609 (multiplicity 4)
Cu: 0.2276 0.0000 0.8168 (multiplicity 4)
Sb: 0.0000 0.5000 0.5000 (multiplicity 2)
Pd: 0.0000 0.0000 0.5000 (multiplicity 2)
Pd: 0.0412 0.5000 0.8780 (multiplicity 4)
Pd: 0.1606 0.0000 0.0575 (multiplicity 4)
Pd: 0.2093 0.5000 0.4257 (multiplicity 4)

Uncorrected formation energy   0.082 eV per atom
DOS at the Fermi energy   0.74 states/eV/atom
Density   9.50 g/cm³

---

No. 8
The following is a PBE calculation of AcGa2Pb after structural relaxation, from Alexandria.

Lattice parameters (Å, degrees): 7.6132 7.6132 7.6132 90.00 90.00 90.00
Space group Fm-3m (No. 225)
Inequivalent atoms, fractional coordinates:
Ac: 0.0000 0.0000 0.0000 (multiplicity 4)
Ga: 0.2500 0.2500 0.2500 (multiplicity 8)
Pb: 0.0000 0.0000 0.5000 (multiplicity 4)

E_form   -0.274 eV/atom
DOS at the Fermi energy   0.32 states/eV/atom
Density   8.63 g/cm³
E above lowest polymorph   49 kJ/mol of formula units

---

No. 9
The following is a PBE calculation of Tl3CoP after structural relaxation, from Alexandria.

Lattice parameters (Å, degrees): 5.0668 5.0668 5.0668 90.00 90.00 90.00
Space group Pm-3m (No. 221)
Inequivalent atoms, fractional coordinates:
Tl: 0.0000 0.0000 0.5000 (multiplicity 3)
Co: 0.0000 0.0000 0.0000 (multiplicity 1)
P: 0.5000 0.5000 0.5000 (multiplicity 1)

E_form   0.568 eV/atom
DOS at the Fermi energy   1.10 states/eV/atom
Density   8.98 g/cm³
E above lowest polymorph   0 kJ/mol of formula units

---

No. 10
The following is a PBE calculation of La4Tb2Sb3N2 after structural relaxation, from Alexandria.

Lattice parameters (Å, degrees): 4.8348 4.8348 26.2072 90.00 90.00 90.00
Space group I4/mmm (No. 139)
Inequivalent atoms, fractional coordinates:
La: 0.0000 0.5000 0.0850 (multiplicity 8)
Tb: 0.0000 0.0000 0.1946 (multiplicity 4)
Sb: 0.0000 0.0000 0.3174 (multiplicity 4)
Sb: 0.0000 0.0000 0.5000 (multiplicity 2)
N: 0.0000 0.0000 0.1108 (multiplicity 4)

Uncorrected formation energy   -1.173 eV per atom
DOS at the Fermi energy   0.31 states/eV/atom
Density   6.87 g/cm³

---

No. 11
The following is a PBE calculation of LaPrAsCl after structural relaxation, from Alexandria.

Lattice parameters (Å, degrees): 5.9479 4.6873 9.3404 90.00 90.00 90.00
Space group Amm2 (No. 38)
Inequivalent atoms, fractional coordinates:
La: 0.0000 0.0000 0.0000 (multiplicity 2)
Pr: 0.5000 0.0000 0.6956 (multiplicity 2)
As: 0.5000 0.0000 0.0086 (multiplicity 2)
Cl: 0.0000 0.0000 0.6922 (multiplicity 2)

Uncorrected formation energy   -1.322 eV per atom
DOS at the Fermi energy   0.77 states/eV/atom
Density   4.98 g/cm³

---

No. 12
The following is a PBE calculation of ZrZnHg after structural relaxation, from Alexandria.

Lattice parameters (Å, degrees): 3.1427 3.1427 11.9161 90.00 90.00 90.00
Space group I4mm (No. 107)
Inequivalent atoms, fractional coordinates:
Zr: 0.0000 0.0000 0.0000 (multiplicity 2)
Zn: 0.0000 0.0000 0.6545 (multiplicity 2)
Hg: 0.0000 0.0000 0.3139 (multiplicity 2)

E_form   -0.147 eV/atom
DOS at the Fermi energy   0.57 states/eV/atom
Density   10.08 g/cm³
E above lowest polymorph   7 kJ/mol of formula units

---

No. 13
The following is a PBE calculation of U3SbC after structural relaxation, from Alexandria.

Lattice parameters (Å, degrees): 10.9066 6.3965 7.3598 90.00 130.61 90.00
Space group Cm (No. 8)
Inequivalent atoms, fractional coordinates:
U: 0.0000 0.0000 0.0000 (multiplicity 2)
U: 0.1283 0.2023 0.5189 (multiplicity 4)
U: 0.1844 0.2633 0.0004 (multiplicity 4)
U: 0.3684 0.5000 0.5564 (multiplicity 2)
Sb: 0.3755 0.0000 0.4924 (multiplicity 2)
Sb: 0.4571 0.0000 0.0554 (multiplicity 2)
C: 0.2188 0.5000 0.7531 (multiplicity 2)
C: 0.3915 0.5000 0.2409 (multiplicity 2)

Uncorrected formation energy   -0.085 eV per atom
DOS at the Fermi energy   2.13 states/eV/atom
Density   14.45 g/cm³
E above lowest polymorph   15 kJ/mol of formula units

---

No. 14
The following is a PBE calculation of SrGe2AsO8 after structural relaxation, from Alexandria.

Lattice parameters (Å, degrees): 4.9285 4.9285 21.6503 90.00 90.00 120.00
Space group R-3 (No. 148, hexagonal axes)
Inequivalent atoms, fractional coordinates:
Sr: 0.0000 0.0000 0.0000 (multiplicity 3)
Ge: 0.0000 0.0000 0.2345 (multiplicity 6)
As: 0.0000 0.0000 0.5000 (multiplicity 3)
O: 0.0000 0.0000 0.3168 (multiplicity 6)
O: 0.0057 0.3083 0.5502 (multiplicity 18)

Uncorrected formation energy   -1.518 eV per atom
DOS at the Fermi energy   0.60 states/eV/atom
Density   4.77 g/cm³

---

No. 15
The following is a PBE calculation of Ba2ZrAs after structural relaxation, from Alexandria.

Lattice parameters (Å, degrees): 4.0261 5.9236 11.9809 90.00 90.00 90.00
Space group Imm2 (No. 44)
Inequivalent atoms, fractional coordinates:
Ba: 0.0000 0.0000 0.0000 (multiplicity 2)
Ba: 0.0000 0.5000 0.1870 (multiplicity 2)
Zr: 0.0000 0.5000 0.8064 (multiplicity 2)
As: 0.0000 0.0000 0.4498 (multiplicity 2)

E_form   -0.269 eV/atom
DOS at the Fermi energy   1.36 states/eV/atom
Density   5.12 g/cm³

---

No. 16
The following is a PBE calculation of SmHgBr after structural relaxation, from Alexandria.

Lattice parameters (Å, degrees): 7.2657 4.1896 12.7341 90.00 91.42 90.00
Space group C2/m (No. 12)
Inequivalent atoms, fractional coordinates:
Sm: 0.0100 0.0000 0.2137 (multiplicity 4)
Hg: 0.1635 0.5000 0.9334 (multiplicity 4)
Br: 0.1828 0.5000 0.3558 (multiplicity 4)

Uncorrected formation energy   -0.981 eV per atom
DOS at the Fermi energy   0.27 states/eV/atom
Density   7.39 g/cm³
E above lowest polymorph   0 kJ/mol of formula units

---

No. 17
The following is a PBE calculation of La2SmHoEr4 after structural relaxation, from Alexandria.

Lattice parameters (Å, degrees): 11.8656 13.2536 6.7945 90.00 90.00 90.00
Space group Ima2 (No. 46)
Inequivalent atoms, fractional coordinates:
La: 0.0000 0.0000 0.0000 (multiplicity 4)
La: 0.2500 0.2502 0.2502 (multiplicity 4)
Sm: 0.0000 0.0000 0.5006 (multiplicity 4)
Ho: 0.2500 0.7502 0.2502 (multiplicity 4)
Er: 0.0050 0.7500 0.0001 (multiplicity 8)
Er: 0.2500 0.5040 0.2485 (multiplicity 4)
Er: 0.2500 0.5040 0.7520 (multiplicity 4)

E_form   0.408 eV/atom
DOS at the Fermi energy   2.45 states/eV/atom
Density   7.85 g/cm³

---

No. 18
The following is a PBE calculation of RbS2ClF after structural relaxation, from Alexandria.

Lattice parameters (Å, degrees): 6.9971 6.9971 6.1263 90.00 90.00 90.00
Space group P4/mmm (No. 123)
Inequivalent atoms, fractional coordinates:
Rb: 0.0000 0.0000 0.0000 (multiplicity 1)
S: 0.0000 0.5000 0.0000 (multiplicity 2)
Cl: 0.0000 0.0000 0.5000 (multiplicity 1)
F: 0.5000 0.5000 0.5000 (multiplicity 1)

Uncorrected formation energy   0.626 eV per atom
DOS at the Fermi energy   5.53 states/eV/atom
Density   1.13 g/cm³
E above lowest polymorph   376 kJ/mol of formula units

---

No. 19
The following is a PBE calculation of LiZrFe3 after structural relaxation, from Alexandria.

Lattice parameters (Å, degrees): 4.6817 4.6817 4.6817 90.00 90.00 90.00
Space group Pm-3m (No. 221)
Inequivalent atoms, fractional coordinates:
Li: 0.0000 0.0000 0.0000 (multiplicity 1)
Zr: 0.5000 0.5000 0.5000 (multiplicity 1)
Fe: 0.0000 0.5000 0.5000 (multiplicity 3)

E_form   1.381 eV/atom
DOS at the Fermi energy   1.09 states/eV/atom
Density   4.30 g/cm³
E above lowest polymorph   361 kJ/mol of formula units

---

No. 20
The following is a PBE calculation of GdHoRh after structural relaxation, from Alexandria.

Lattice parameters (Å, degrees): 6.8097 6.8097 6.8097 90.00 90.00 90.00
Space group F-43m (No. 216)
Inequivalent atoms, fractional coordinates:
Gd: 0.0000 0.0000 0.0000 (multiplicity 4)
Ho: 0.0000 0.0000 0.5000 (multiplicity 4)
Rh: 0.2500 0.2500 0.7500 (multiplicity 4)

E_form   -0.571 eV/atom
DOS at the Fermi energy   1.03 states/eV/atom
Density   8.94 g/cm³
E above lowest polymorph   0 kJ/mol of formula units

---

No. 21
The following is a PBE calculation of Pb2BrF after structural relaxation, from Alexandria.

Lattice parameters (Å, degrees): 7.4181 7.4181 7.4181 90.00 90.00 90.00
Space group Fm-3m (No. 225)
Inequivalent atoms, fractional coordinates:
Pb: 0.2500 0.2500 0.2500 (multiplicity 8)
Br: 0.0000 0.0000 0.0000 (multiplicity 4)
F: 0.0000 0.0000 0.5000 (multiplicity 4)

Uncorrected formation energy   -0.634 eV per atom
DOS at the Fermi energy   0.84 states/eV/atom
Density   8.35 g/cm³
E above lowest polymorph   95 kJ/mol of formula units

---

No. 22
The following is a PBE calculation of KHg3As after structural relaxation, from Alexandria.

Lattice parameters (Å, degrees): 5.5895 5.5895 5.5895 90.00 90.00 90.00
Space group Pm-3m (No. 221)
Inequivalent atoms, fractional coordinates:
K: 0.0000 0.0000 0.0000 (multiplicity 1)
Hg: 0.0000 0.5000 0.5000 (multiplicity 3)
As: 0.5000 0.5000 0.5000 (multiplicity 1)

E_form   0.007 eV/atom
DOS at the Fermi energy   0.80 states/eV/atom
Density   6.81 g/cm³
E above lowest polymorph   85 kJ/mol of formula units

---

No. 23
The following is a PBE calculation of H2Pd2Rh after structural relaxation, from Alexandria.

Lattice parameters (Å, degrees): 5.2975 5.2975 3.8807 90.00 90.00 90.00
Space group P4/mbm (No. 127)
Inequivalent atoms, fractional coordinates:
H: 0.2062 0.2938 0.0000 (multiplicity 4)
Pd: 0.1844 0.3156 0.5000 (multiplicity 4)
Rh: 0.0000 0.0000 0.0000 (multiplicity 2)

DOS at the Fermi energy   0.70 states/eV/atom
Density   9.69 g/cm³
E above lowest polymorph   14 kJ/mol of formula units

---

No. 24
The following is a PBE calculation of TaCrFe2 after structural relaxation, from Alexandria.

Lattice parameters (Å, degrees): 3.0774 4.1194 4.1217 90.00 90.00 90.00
Space group Pmmm (No. 47)
Inequivalent atoms, fractional coordinates:
Ta: 0.0000 0.0000 0.0000 (multiplicity 1)
Cr: 0.5000 0.0000 0.5000 (multiplicity 1)
Fe: 0.0000 0.5000 0.5000 (multiplicity 1)
Fe: 0.5000 0.5000 0.0000 (multiplicity 1)

E_form   0.040 eV/atom
DOS at the Fermi energy   0.92 states/eV/atom
Density   10.95 g/cm³

---

No. 25
The following is a PBE calculation of CeGd2Th after structural relaxation, from Alexandria.

Lattice parameters (Å, degrees): 4.9856 4.9856 5.0557 90.00 90.00 90.00
Space group P4/mmm (No. 123)
Inequivalent atoms, fractional coordinates:
Ce: 0.0000 0.0000 0.0000 (multiplicity 1)
Gd: 0.0000 0.5000 0.5000 (multiplicity 2)
Th: 0.5000 0.5000 0.0000 (multiplicity 1)

E_form   0.083 eV/atom
DOS at the Fermi energy   2.26 states/eV/atom
Density   9.07 g/cm³
E above lowest polymorph   0 kJ/mol of formula units